No. 1
Here is a PBEsol-optimized structure of SrCd2Ag from Alexandria. Energies are from SCAN.

Unit cell a=4.810 b=4.810 c=5.855 alpha=65.75 beta=65.75 gamma=60.00
Atoms (fractional coordinates):
Cd1 0.983 0.983 0.052
Ag1 0.300 0.300 0.099
Sr1 0.505 0.505 0.485
Cd2 0.714 0.714 0.859

## Properties
ΔH_f (0 K): -273 meV per atom
magnetization: 0.00 Bohr magnetons per cell
SG: No. 160


No. 2
Here is a PBEsol-optimized structure of SrCd2Ag from Alexandria. Energies are from SCAN.

Unit cell a=4.764 b=4.764 c=5.973 alpha=66.50 beta=66.50 gamma=60.00
Atoms (fractional coordinates):
Sr1 0.000 0.000 0.000
Cd1 0.792 0.792 0.625
Ag1 0.500 0.500 0.500
Cd2 0.208 0.208 0.375

## Properties
ΔH_f (0 K): -243 meV per atom
magnetization: 0.00 Bohr magnetons per cell
SG: No. 166


No. 3
Here is a PBEsol-optimized structure of SrCd2Ag2 from Alexandria. Energies are from SCAN.

Unit cell a=4.942 b=4.942 c=6.116 alpha=113.83 beta=113.83 gamma=90.00
Atoms (fractional coordinates):
Ag1 0.750 0.250 0.500
Ag2 0.250 0.750 0.500
Cd1 0.364 0.364 0.728
Sr1 0.000 0.000 0.000
Cd2 0.636 0.636 0.272

## Properties
ΔH_f (0 K): -216 meV per atom
magnetization: 0.00 Bohr magnetons per cell
SG: No. 139